A plane-wave DFT calculation with PBE was carried out for CeZrIr2 after structural relaxation.

Symmetry: P4/mmm (123)
V, Å³/f.u.: 77
E_form, eV/atom: -0.726
E, eV/atom: -8.7771

Structure (POSCAR):
```
CeZrIr2
1.0
3.1720 0.0000 0.0000
0.0000 3.1720 0.0000
0.0000 0.0000 7.6928
Ce Zr Ir
1 1 2
Cartesian
0.0000 0.0000 0.0000
0.0000 0.0000 3.8464
1.5860 1.5860 2.1522
1.5860 1.5860 5.5406
```